i) Li3Ca2Hg | PBE | optimized geometry

a = 10.3439 Å, b = 5.8577 Å, c = 6.0411 Å
α = 90.00°, β = 124.63°, γ = 90.00°
With the nearest neighbours (Å) after each atom.
Element x y z (fractional)
1 Li 0.0000 0.0000 0.0000  4 Li 2.97, 2 Hg 3.02
2 Li 0.2500 0.2500 0.0000  4 Li 2.93-2.97, 2 Hg 3.01
3 Li 0.2500 0.7500 0.0000  4 Li 2.93-2.97, 2 Hg 3.01
4 Li 0.5000 0.5000 0.0000  4 Li 2.97, 2 Hg 3.02
5 Li 0.7500 0.2500 0.0000  4 Li 2.93-2.97, 2 Hg 3.01
6 Li 0.7500 0.7500 0.0000  4 Li 2.93-2.97, 2 Hg 3.01
7 Ca 0.1258 0.5000 0.3798  3 Hg 3.45-3.51, 9 Li 3.48-3.54, 4 Ca 3.61-3.78
8 Ca 0.3742 0.0000 0.6202  3 Hg 3.45-3.51, 9 Li 3.48-3.54, 4 Ca 3.61-3.78
9 Ca 0.6258 0.0000 0.3798  3 Hg 3.45-3.51, 9 Li 3.48-3.54, 4 Ca 3.61-3.78
10 Ca 0.8742 0.5000 0.6202  3 Hg 3.45-3.51, 9 Li 3.48-3.54, 4 Ca 3.61-3.78
11 Hg 0.0000 0.0000 0.5000  6 Li 3.01-3.02
12 Hg 0.5000 0.5000 0.5000  6 Li 3.01-3.02

The total magnetic moment comes out at 0.000 μB per formula unit.

---

ii) Li3Ca2Hg | PBE | optimized geometry

a = 3.8430 Å, b = 4.8974 Å, c = 8.6154 Å
α = 90.00°, β = 90.00°, γ = 90.00°
With the nearest neighbours (Å) after each atom.
Element x y z (fractional)
1 Li 0.0000 0.0000 0.0000  3 Li 2.86-2.92
2 Li 0.0000 0.0000 0.3387  2 Hg 2.83, 1 Li 2.92
3 Li 0.0000 0.5000 0.8292  1 Hg 2.81, 2 Li 2.86
4 Ca 0.5000 0.0000 0.6464  8 Li 3.27-3.60, 4 Hg 3.35
5 Ca 0.5000 0.5000 0.1914  2 Hg 3.30, 10 Li 3.36-3.66
6 Hg 0.0000 0.5000 0.5028  3 Li 2.81-2.83

The total magnetic moment comes out at 0.000 μB per formula unit.

---

Verdict on stability: ii) comes out at the bottom.

---

i) LiCa3Hg | PBE | optimized geometry

a = 5.9296 Å, b = 5.9296 Å, c = 5.9296 Å
α = 90.00°, β = 90.00°, γ = 90.00°
With the nearest neighbours (Å) after each atom.
Element x y z (fractional)
1 Li 0.0000 0.0000 0.0000  12 Ca 4.19
2 Ca 0.0000 0.5000 0.5000  2 Hg 2.96
3 Ca 0.5000 0.0000 0.5000  2 Hg 2.96
4 Ca 0.5000 0.5000 0.0000  2 Hg 2.96
5 Hg 0.5000 0.5000 0.5000  6 Ca 2.96

The total magnetic moment comes out at 0.000 μB per formula unit.

---

ii) LiCa3Hg | PBE | optimized geometry

a = 10.8338 Å, b = 10.8338 Å, c = 5.4065 Å
α = 90.00°, β = 90.00°, γ = 151.10°
With the nearest neighbours (Å) after each atom.
Element x y z (fractional)
1 Li 0.1585 0.8415 0.7500  8 Ca 3.28-3.32
2 Li 0.8415 0.1585 0.2500  8 Ca 3.28-3.32
3 Ca 0.0689 0.9311 0.2500  2 Li 3.29, 2 Hg 3.30
4 Ca 0.2501 0.7499 0.2500  4 Hg 3.31, 4 Li 3.31-3.32
5 Ca 0.4304 0.5696 0.2500  2 Li 3.28, 2 Hg 3.29
6 Ca 0.5696 0.4304 0.7500  2 Li 3.28, 2 Hg 3.29
7 Ca 0.7499 0.2501 0.7500  4 Hg 3.31, 4 Li 3.31-3.32
8 Ca 0.9311 0.0689 0.7500  2 Li 3.29, 2 Hg 3.30
9 Hg 0.3412 0.6588 0.7500  8 Ca 3.29-3.31
10 Hg 0.6588 0.3412 0.2500  8 Ca 3.29-3.31

The total magnetic moment comes out at 0.000 μB per formula unit.

---

Verdict on stability: i) comes out at the bottom.

---

i) Li2CaHg2 | PBE | optimized geometry

a = 8.0778 Å, b = 8.0778 Å, c = 3.5384 Å
α = 90.00°, β = 90.00°, γ = 90.00°
With the nearest neighbours (Å) after each atom.
Element x y z (fractional)
1 Li 0.1558 0.3442 0.0000  6 Hg 2.95-2.97
2 Li 0.3442 0.8442 0.0000  6 Hg 2.95-2.97
3 Li 0.6558 0.1558 0.0000  6 Hg 2.95-2.97
4 Li 0.8442 0.6558 0.0000  6 Hg 2.95-2.97
5 Ca 0.0000 0.0000 0.5000  4 Hg 3.14
6 Ca 0.5000 0.5000 0.5000  4 Hg 3.14
7 Hg 0.1357 0.6357 0.5000  6 Li 2.95-2.97, 1 Hg 3.10, 2 Ca 3.14
8 Hg 0.3643 0.1357 0.5000  6 Li 2.95-2.97, 1 Hg 3.10, 2 Ca 3.14
9 Hg 0.6357 0.8643 0.5000  6 Li 2.95-2.97, 1 Hg 3.10, 2 Ca 3.14
10 Hg 0.8643 0.3643 0.5000  6 Li 2.95-2.97, 1 Hg 3.10, 2 Ca 3.14

The total magnetic moment comes out at 0.000 μB per formula unit.

---

ii) Li2CaHg2 | PBE | optimized geometry

a = 7.8954 Å, b = 7.8954 Å, c = 3.4229 Å
α = 90.00°, β = 90.00°, γ = 90.00°
With the nearest neighbours (Å) after each atom.
Element x y z (fractional)
1 Li 0.1210 0.3790 0.0000  1 Li 2.70, 6 Hg 2.86-2.92
2 Li 0.3790 0.8790 0.0000  1 Li 2.70, 6 Hg 2.86-2.92
3 Li 0.6210 0.1210 0.0000  1 Li 2.70, 6 Hg 2.86-2.92
4 Li 0.8790 0.6210 0.0000  1 Li 2.70, 6 Hg 2.86-2.92
5 Ca 0.0000 0.0000 0.0000  4 Li 3.14, 8 Hg 3.38, 2 Ca 3.42
6 Ca 0.5000 0.5000 0.0000  4 Li 3.14, 8 Hg 3.38, 2 Ca 3.42
7 Hg 0.1737 0.6737 0.5000  6 Li 2.86-2.92
8 Hg 0.3263 0.1737 0.5000  6 Li 2.86-2.92
9 Hg 0.6737 0.8263 0.5000  6 Li 2.86-2.92
10 Hg 0.8263 0.3263 0.5000  6 Li 2.86-2.92

The total magnetic moment comes out at 0.000 μB per formula unit.

---

iii) Li2CaHg2 | PBE | optimized geometry

a = 5.4404 Å, b = 5.7650 Å, c = 9.0397 Å
α = 82.11°, β = 72.74°, γ = 62.29°
With the nearest neighbours (Å) after each atom.
Element x y z (fractional)
1 Li 0.0067 0.2496 0.4859  4 Hg 2.73-2.76, 2 Li 2.89-2.90
2 Li 0.2436 0.2494 0.0140  4 Hg 2.73-2.75, 2 Li 2.90-2.92
3 Li 0.7564 0.7506 0.9860  4 Hg 2.73-2.75, 2 Li 2.90-2.92
4 Li 0.9933 0.7504 0.5141  4 Hg 2.73-2.76, 2 Li 2.89-2.90
5 Ca 0.3750 0.7505 0.7494  6 Hg 3.26-3.29, 4 Li 3.38-3.41
6 Ca 0.6250 0.2495 0.2506  6 Hg 3.26-3.29, 4 Li 3.38-3.41
7 Hg 0.0537 0.3940 0.7499  4 Li 2.73-2.75
8 Hg 0.3049 0.8926 0.2498  4 Li 2.73-2.76
9 Hg 0.6951 0.1074 0.7502  4 Li 2.73-2.76
10 Hg 0.9463 0.6060 0.2501  4 Li 2.73-2.75

The total magnetic moment comes out at 0.000 μB per formula unit.

---

Verdict on stability: iii) comes out at the bottom.

---

i) Li2Ca2Hg | PBE | optimized geometry

a = 4.8921 Å, b = 5.5782 Å, c = 9.7269 Å
α = 90.00°, β = 90.00°, γ = 90.00°
With the nearest neighbours (Å) after each atom.
Element x y z (fractional)
1 Li 0.0000 0.2473 0.0000  2 Li 2.76-2.82, 2 Hg 2.81
2 Li 0.0000 0.7527 0.0000  2 Li 2.76-2.82, 2 Hg 2.81
3 Li 0.5000 0.2527 0.5000  2 Li 2.76-2.82, 2 Hg 2.81
4 Li 0.5000 0.7473 0.5000  2 Li 2.76-2.82, 2 Hg 2.81
5 Ca 0.0000 0.0000 0.3060  6 Li 3.28-3.40, 2 Hg 3.37
6 Ca 0.0000 0.0000 0.6940  6 Li 3.28-3.40, 2 Hg 3.37
7 Ca 0.5000 0.5000 0.1940  6 Li 3.28-3.40, 2 Hg 3.37
8 Ca 0.5000 0.5000 0.8060  6 Li 3.28-3.40, 2 Hg 3.37
9 Hg 0.0000 0.5000 0.5000  4 Li 2.81
10 Hg 0.5000 0.0000 0.0000  4 Li 2.81

The total magnetic moment comes out at 0.000 μB per formula unit.

---

ii) Li2Ca2Hg | PBE | optimized geometry

a = 3.8453 Å, b = 3.8453 Å, c = 18.8807 Å
α = 90.00°, β = 90.00°, γ = 90.00°
With the nearest neighbours (Å) after each atom.
Element x y z (fractional)
1 Li 0.0000 0.5000 0.2500  4 Li 2.72
2 Li 0.0000 0.5000 0.7500  4 Li 2.72
3 Li 0.5000 0.0000 0.2500  4 Li 2.72
4 Li 0.5000 0.0000 0.7500  4 Li 2.72
5 Ca 0.0000 0.0000 0.0969  4 Hg 3.28, 4 Li 3.47, 1 Ca 3.66
6 Ca 0.0000 0.0000 0.9031  4 Hg 3.28, 4 Li 3.47, 1 Ca 3.66
7 Ca 0.5000 0.5000 0.4031  4 Hg 3.28, 4 Li 3.47, 1 Ca 3.66
8 Ca 0.5000 0.5000 0.5969  4 Hg 3.28, 4 Li 3.47, 1 Ca 3.66
9 Hg 0.0000 0.0000 0.5000  8 Ca 3.28
10 Hg 0.5000 0.5000 0.0000  8 Ca 3.28

The total magnetic moment comes out at 0.000 μB per formula unit.

---

Verdict on stability: ii) comes out at the bottom.

---

i) Li2Ca2Hg | PBE | optimized geometry

a = 7.3528 Å, b = 7.3528 Å, c = 4.9746 Å
α = 90.00°, β = 90.00°, γ = 90.00°
With the nearest neighbours (Å) after each atom.
Element x y z (fractional)
1 Li 0.1316 0.3684 0.0000  1 Li 2.74, 2 Hg 2.88
2 Li 0.3684 0.8684 0.0000  1 Li 2.74, 2 Hg 2.88
3 Li 0.6316 0.1316 0.0000  1 Li 2.74, 2 Hg 2.88
4 Li 0.8684 0.6316 0.0000  1 Li 2.74, 2 Hg 2.88
5 Ca 0.1845 0.6845 0.5000  6 Li 3.14-3.43
6 Ca 0.3155 0.1845 0.5000  6 Li 3.14-3.43
7 Ca 0.6845 0.8155 0.5000  6 Li 3.14-3.43
8 Ca 0.8155 0.3155 0.5000  6 Li 3.14-3.43
9 Hg 0.0000 0.0000 0.0000  4 Li 2.88
10 Hg 0.5000 0.5000 0.0000  4 Li 2.88

The total magnetic moment comes out at 0.000 μB per formula unit.

---

ii) Li2Ca2Hg | PBE | optimized geometry

a = 8.3883 Å, b = 8.3883 Å, c = 4.4208 Å
α = 90.00°, β = 90.00°, γ = 90.00°
With the nearest neighbours (Å) after each atom.
Element x y z (fractional)
1 Li 0.1368 0.3632 0.0000  1 Li 3.24, 6 Ca 3.27-3.34
2 Li 0.3632 0.8632 0.0000  1 Li 3.24, 6 Ca 3.27-3.34
3 Li 0.6368 0.1368 0.0000  1 Li 3.24, 6 Ca 3.27-3.34
4 Li 0.8632 0.6368 0.0000  1 Li 3.24, 6 Ca 3.27-3.34
5 Ca 0.1601 0.6601 0.5000  2 Hg 3.15, 6 Li 3.27-3.34
6 Ca 0.3399 0.1601 0.5000  2 Hg 3.15, 6 Li 3.27-3.34
7 Ca 0.6601 0.8399 0.5000  2 Hg 3.15, 6 Li 3.27-3.34
8 Ca 0.8399 0.3399 0.5000  2 Hg 3.15, 6 Li 3.27-3.34
9 Hg 0.0000 0.0000 0.5000  4 Ca 3.15
10 Hg 0.5000 0.5000 0.5000  4 Ca 3.15

The total magnetic moment comes out at 0.000 μB per formula unit.

---

Verdict on stability: ii) comes out at the bottom.